YCl2F | GGA-PBE | optimized geometry

Results
The calculation puts the uncorrected formation energy at -11.5 eV/f.u. The distance to the lowest polymorph of the same formula is 0 meV per atom. As for the final energy: -23.6 eV per cell. The value obtained for the density of states at the Fermi level is 0.0 states/eV/f.u.

a b c (Å): 3.9955 4.3716 7.1792
angles (deg): 107.75 106.15 90.00
Fractional coordinates of all 4 atoms:
Y 0.5000 0.0088 0.0000
Cl 0.1358 0.1453 0.2717
Cl 0.8642 0.8731 0.7282
F 0.4999 0.5088 0.0001